# Ti2PbS4 | Alexandria | GGA-PBE | optimized geometry
# Total energy (eV/cell): -173.53
# Formation energy (no corrections) (meV/atom): -1054
data_Ti2PbS4
_chemical_formula_sum 'Ti8 Pb4 S16'
_space_group_name_H-M_alt 'C m c m'
_space_group_IT_number 63
_space_group_name_Hall '-C 2c 2'
_cell_length_a 3.626
_cell_length_b 11.777
_cell_length_c 12.768
_cell_angle_alpha 90.00
_cell_angle_beta 90.00
_cell_angle_gamma 90.00
loop_
_atom_site_label
_atom_site_fract_x
_atom_site_fract_y
_atom_site_fract_z
Ti1 0.000 0.126 0.063
Pb1 0.000 0.388 0.250
S1 0.000 0.074 0.250
S2 0.000 0.231 0.603
S3 0.000 0.500 0.000

# Li2MgAs | Alexandria | GGA-PBE | optimized geometry
# Total energy (eV/cell): -48.62
# ΔE to the lowest computed polymorph (meV per atom): 14
# Energy of formation from the pure elements (meV/atom): -521.1
data_Li2MgAs
_chemical_formula_sum 'Li8 Mg4 As4'
_space_group_name_H-M_alt 'I 4/m m m'
_space_group_IT_number 139
_space_group_name_Hall '-I 4 2'
_cell_length_a 4.241
_cell_length_b 4.241
_cell_length_c 14.620
_cell_angle_alpha 90.00
_cell_angle_beta 90.00
_cell_angle_gamma 90.00
loop_
_atom_site_label
_atom_site_fract_x
_atom_site_fract_y
_atom_site_fract_z
Li1 0.000 0.000 0.134
Li2 0.000 0.500 0.250
Mg1 0.000 0.500 0.000
As1 0.000 0.000 0.361

# YCoRe3 | Alexandria | GGA-PBE | optimized geometry
# Total energy (eV/cell): -45.44
# ΔE to the lowest computed polymorph (meV per atom): 0
# Energy of formation from the pure elements (meV/atom): 1094.6
data_YCoRe3
_chemical_formula_sum 'Y1 Co1 Re3'
_space_group_name_H-M_alt 'P m -3 m'
_space_group_IT_number 221
_space_group_name_Hall '-P 4 2 3'
_cell_length_a 4.520
_cell_length_b 4.520
_cell_length_c 4.520
_cell_angle_alpha 90.00
_cell_angle_beta 90.00
_cell_angle_gamma 90.00
loop_
_atom_site_label
_atom_site_fract_x
_atom_site_fract_y
_atom_site_fract_z
Y1 0.000 0.000 0.000
Co1 0.500 0.500 0.500
Re1 0.000 0.500 0.500

# Ca2MgTe | Alexandria | GGA-PBE | optimized geometry
# Total energy (eV/cell): -22.20
# ΔE to the lowest computed polymorph (meV per atom): 123
# Formation energy (no corrections) (meV/atom): -590
data_Ca2MgTe
_chemical_formula_sum 'Ca4 Mg2 Te2'
_space_group_name_H-M_alt 'I -4 m 2'
_space_group_IT_number 119
_space_group_name_Hall 'I -4 -2'
_cell_length_a 4.565
_cell_length_b 4.565
_cell_length_c 11.883
_cell_angle_alpha 90.00
_cell_angle_beta 90.00
_cell_angle_gamma 90.00
loop_
_atom_site_label
_atom_site_fract_x
_atom_site_fract_y
_atom_site_fract_z
Ca1 0.000 0.000 0.000
Ca2 0.000 0.500 0.250
Mg1 0.000 0.500 0.750
Te1 0.000 0.000 0.500

# Pm3MgRu | Alexandria | GGA-PBE | optimized geometry
# Total energy (eV/cell): -207.78
# ΔE to the lowest computed polymorph (meV per atom): 0
# Energy of formation from the pure elements (meV/atom): -170.0
data_Pm3MgRu
_chemical_formula_sum 'Pm24 Mg8 Ru8'
_space_group_name_H-M_alt 'F m m m'
_space_group_IT_number 69
_space_group_name_Hall '-F 2 2'
_cell_length_a 6.723
_cell_length_b 10.223
_cell_length_c 16.152
_cell_angle_alpha 90.00
_cell_angle_beta 90.00
_cell_angle_gamma 90.00
loop_
_atom_site_label
_atom_site_fract_x
_atom_site_fract_y
_atom_site_fract_z
Pm1 0.000 0.000 0.203
Pm2 0.000 0.196 0.389
Mg1 0.206 0.000 0.000
Ru1 0.250 0.250 0.250

# Li2AcCdBr8 | Alexandria | GGA-PBE | optimized geometry
# Total energy (eV/cell): -36.54
# Formation energy (no corrections) (meV/atom): -1192
data_Li2AcCdBr8
_chemical_formula_sum 'Li2 Ac1 Cd1 Br8'
_space_group_name_H-M_alt 'P -3'
_space_group_IT_number 147
_space_group_name_Hall '-P 3'
_cell_length_a 6.9253
_cell_length_b 6.9253
_cell_length_c 8.7412
_cell_angle_alpha 90.00
_cell_angle_beta 90.00
_cell_angle_gamma 120.00
loop_
_atom_site_label
_atom_site_fract_x
_atom_site_fract_y
_atom_site_fract_z
Li1 0.3333 0.6667 0.2179
Ac1 0.0000 0.0000 0.5000
Cd1 0.0000 0.0000 0.0000
Br1 0.0180 0.7091 0.7918
Br2 0.3333 0.6667 0.5018

# TiCrB2 | Alexandria | GGA-PBE | optimized geometry
# Total energy (eV/cell): -122.65
# ΔE to the lowest computed polymorph (meV per atom): 458
# Energy of formation from the pure elements (meV/atom): 52.4
data_TiCrB2
_chemical_formula_sum 'Ti4 Cr4 B8'
_space_group_name_H-M_alt 'F m -3 m'
_space_group_IT_number 225
_space_group_name_Hall '-F 4 2 3'
_cell_length_a 5.349
_cell_length_b 5.349
_cell_length_c 5.349
_cell_angle_alpha 90.00
_cell_angle_beta 90.00
_cell_angle_gamma 90.00
loop_
_atom_site_label
_atom_site_fract_x
_atom_site_fract_y
_atom_site_fract_z
Ti1 0.000 0.000 0.000
Cr1 0.000 0.000 0.500
B1 0.250 0.250 0.250

# TlRu4Pt | Alexandria | GGA-PBE | optimized geometry
# Total energy (eV/cell): -166.06
# Energy of formation from the pure elements (meV/atom): 665.9
data_TlRu4Pt
_chemical_formula_sum 'Tl4 Ru16 Pt4'
_space_group_name_H-M_alt 'F -4 3 m'
_space_group_IT_number 216
_space_group_name_Hall 'F -4 2 3'
_cell_length_a 7.308
_cell_length_b 7.308
_cell_length_c 7.308
_cell_angle_alpha 90.00
_cell_angle_beta 90.00
_cell_angle_gamma 90.00
loop_
_atom_site_label
_atom_site_fract_x
_atom_site_fract_y
_atom_site_fract_z
Tl1 0.000 0.000 0.000
Ru1 0.124 0.124 0.624
Pt1 0.250 0.250 0.250

# Th6SbP2C3 | Alexandria | GGA-PBE | optimized geometry
# Total energy (eV/cell): -192.51
# Formation energy (no corrections) (meV/atom): -760
data_Th6SbP2C3
_chemical_formula_sum 'Th12 Sb2 P4 C6'
_space_group_name_H-M_alt 'C 1 2/m 1'
_space_group_IT_number 12
_space_group_name_Hall '-C 2y'
_cell_length_a 17.834
_cell_length_b 3.961
_cell_length_c 8.220
_cell_angle_alpha 90.00
_cell_angle_beta 106.27
_cell_angle_gamma 90.00
loop_
_atom_site_label
_atom_site_fract_x
_atom_site_fract_y
_atom_site_fract_z
Th1 0.008 0.000 0.216
Th2 0.162 0.500 0.096
Th3 0.179 0.500 0.570
Sb1 0.000 0.500 0.500
P1 0.166 0.000 0.831
C1 0.000 0.500 0.000
C2 0.170 0.000 0.328

# MnCdHg2 | Alexandria | GGA-PBE | optimized geometry
# Total energy (eV/cell): -19.23
# Energy of formation from the pure elements (meV/atom): 268.3
data_MnCdHg2
_chemical_formula_sum 'Mn2 Cd2 Hg4'
_space_group_name_H-M_alt 'I -4 m 2'
_space_group_IT_number 119
_space_group_name_Hall 'I -4 -2'
_cell_length_a 4.353
_cell_length_b 4.353
_cell_length_c 8.776
_cell_angle_alpha 90.00
_cell_angle_beta 90.00
_cell_angle_gamma 90.00
loop_
_atom_site_label
_atom_site_fract_x
_atom_site_fract_y
_atom_site_fract_z
Mn1 0.000 0.000 0.000
Cd1 0.000 0.500 0.750
Hg1 0.000 0.000 0.500
Hg2 0.000 0.500 0.250

# CaLaTl | Alexandria | GGA-PBE | optimized geometry
# Total energy (eV/cell): -39.91
# ΔE to the lowest computed polymorph (meV per atom): 171
# Energy of formation from the pure elements (meV/atom): -227.5
data_CaLaTl
_chemical_formula_sum 'Ca4 La4 Tl4'
_space_group_name_H-M_alt 'C m c 21'
_space_group_IT_number 36
_space_group_name_Hall 'C 2c -2'
_cell_length_a 3.998
_cell_length_b 14.733
_cell_length_c 7.077
_cell_angle_alpha 90.00
_cell_angle_beta 90.00
_cell_angle_gamma 90.00
loop_
_atom_site_label
_atom_site_fract_x
_atom_site_fract_y
_atom_site_fract_z
Ca1 0.000 0.001 0.000
La1 0.000 0.302 0.751
Tl1 0.000 0.372 0.249

# LiYAu2 | Alexandria | GGA-PBE | optimized geometry
# Total energy (eV/cell): -51.80
# ΔE to the lowest computed polymorph (meV per atom): 135
# Energy of formation from the pure elements (meV/atom): -583.9
data_LiYAu2
_chemical_formula_sum 'Li3 Y3 Au6'
_space_group_name_H-M_alt 'R 3 m'
_space_group_IT_number 160
_space_group_name_Hall 'R 3 -2"'
_cell_length_a 4.3802
_cell_length_b 4.3802
_cell_length_c 14.9059
_cell_angle_alpha 90.00
_cell_angle_beta 90.00
_cell_angle_gamma 120.00
loop_
_atom_site_label
_atom_site_fract_x
_atom_site_fract_y
_atom_site_fract_z
Li1 0.0000 0.0000 0.0000
Y1 0.0000 0.0000 0.1978
Au1 0.0000 0.0000 0.4126
Au2 0.0000 0.0000 0.6395

# LiSi3Rh2 | Alexandria | GGA-PBE | optimized geometry
# Total energy (eV/cell): -142.40
# Formation energy (no corrections) (meV/atom): -452
data_LiSi3Rh2
_chemical_formula_sum 'Li4 Si12 Rh8'
_space_group_name_H-M_alt 'C m c m'
_space_group_IT_number 63
_space_group_name_Hall '-C 2c 2'
_cell_length_a 10.681
_cell_length_b 6.320
_cell_length_c 5.547
_cell_angle_alpha 90.00
_cell_angle_beta 90.00
_cell_angle_gamma 90.00
loop_
_atom_site_label
_atom_site_fract_x
_atom_site_fract_y
_atom_site_fract_z
Li1 0.000 0.174 0.250
Si1 0.000 0.277 0.750
Si2 0.213 0.187 0.750
Rh1 0.146 0.500 0.000

# Er2AgPt | Alexandria | GGA-PBE | optimized geometry
# Total energy (eV/cell): -62.47
# Energy of formation from the pure elements (meV/atom): -701.2
data_Er2AgPt
_chemical_formula_sum 'Er6 Ag3 Pt3'
_space_group_name_H-M_alt 'R 3 m'
_space_group_IT_number 160
_space_group_name_Hall 'R 3 -2"'
_cell_length_a 4.0697
_cell_length_b 4.0697
_cell_length_c 21.1188
_cell_angle_alpha 90.00
_cell_angle_beta 90.00
_cell_angle_gamma 120.00
loop_
_atom_site_label
_atom_site_fract_x
_atom_site_fract_y
_atom_site_fract_z
Er1 0.0000 0.0000 0.0000
Er2 0.0000 0.0000 0.1883
Ag1 0.0000 0.0000 0.7590
Pt1 0.0000 0.0000 0.5952

# SiSn2Ge2 | Alexandria | GGA-PBE | optimized geometry
# Total energy (eV/cell): -42.69
# Formation energy (no corrections) (meV/atom): 263
data_SiSn2Ge2
_chemical_formula_sum 'Si2 Sn4 Ge4'
_space_group_name_H-M_alt 'P 4/m b m'
_space_group_IT_number 127
_space_group_name_Hall '-P 4 2ab'
_cell_length_a 6.389
_cell_length_b 6.389
_cell_length_c 5.783
_cell_angle_alpha 90.00
_cell_angle_beta 90.00
_cell_angle_gamma 90.00
loop_
_atom_site_label
_atom_site_fract_x
_atom_site_fract_y
_atom_site_fract_z
Si1 0.000 0.000 0.000
Sn1 0.210 0.290 0.500
Ge1 0.140 0.360 0.000

# Zr2Pa3As2N4 | Alexandria | GGA-PBE | optimized geometry
# Total energy (eV/cell): -201.34
# Formation energy (no corrections) (meV/atom): -1135
data_Zr2Pa3As2N4
_chemical_formula_sum 'Zr4 Pa6 As4 N8'
_space_group_name_H-M_alt 'I 4/m m m'
_space_group_IT_number 139
_space_group_name_Hall '-I 4 2'
_cell_length_a 4.229
_cell_length_b 4.229
_cell_length_c 21.237
_cell_angle_alpha 90.00
_cell_angle_beta 90.00
_cell_angle_gamma 90.00
loop_
_atom_site_label
_atom_site_fract_x
_atom_site_fract_y
_atom_site_fract_z
Zr1 0.000 0.000 0.083
Pa1 0.000 0.000 0.346
Pa2 0.000 0.000 0.500
As1 0.000 0.000 0.207
N1 0.000 0.500 0.073

# NiP3 | Alexandria | GGA-PBE | optimized geometry
# Total energy (eV/cell): -20.38
# ΔE to the lowest computed polymorph (meV per atom): 710
# Energy of formation from the pure elements (meV/atom): 408.3
data_NiP3
_chemical_formula_sum 'Ni1 P3'
_space_group_name_H-M_alt 'P -6 m 2'
_space_group_IT_number 187
_space_group_name_Hall 'P -6 2'
_cell_length_a 2.7436
_cell_length_b 2.7436
_cell_length_c 8.3410
_cell_angle_alpha 90.00
_cell_angle_beta 90.00
_cell_angle_gamma 120.00
loop_
_atom_site_label
_atom_site_fract_x
_atom_site_fract_y
_atom_site_fract_z
Ni1 0.0000 0.0000 0.0000
P1 0.0000 0.0000 0.5000
P2 0.6667 0.3333 0.2119

# KRb3Os2O9 | Alexandria | GGA-PBE | optimized geometry
# Total energy (eV/cell): -90.62
# Formation energy (no corrections) (meV/atom): -1303
data_KRb3Os2O9
_chemical_formula_sum 'K1 Rb3 Os2 O9'
_space_group_name_H-M_alt 'P -3 m 1'
_space_group_IT_number 164
_space_group_name_Hall '-P 3 2"'
_cell_length_a 5.8897
_cell_length_b 5.8897
_cell_length_c 7.9196
_cell_angle_alpha 90.00
_cell_angle_beta 90.00
_cell_angle_gamma 120.00
loop_
_atom_site_label
_atom_site_fract_x
_atom_site_fract_y
_atom_site_fract_z
K1 0.0000 0.0000 0.0000
Rb1 0.0000 0.0000 0.5000
Rb2 0.3333 0.6667 0.1813
Os1 0.3333 0.6667 0.6464
O1 0.0000 0.5000 0.5000
O2 0.1846 0.3691 0.7725

# PmEuTmHg | Alexandria | GGA-PBE | optimized geometry
# Total energy (eV/cell): -79.12
# Energy of formation from the pure elements (meV/atom): 4.5
data_PmEuTmHg
_chemical_formula_sum 'Pm4 Eu4 Tm4 Hg4'
_space_group_name_H-M_alt 'F -4 3 m'
_space_group_IT_number 216
_space_group_name_Hall 'F -4 2 3'
_cell_length_a 7.762
_cell_length_b 7.762
_cell_length_c 7.762
_cell_angle_alpha 90.00
_cell_angle_beta 90.00
_cell_angle_gamma 90.00
loop_
_atom_site_label
_atom_site_fract_x
_atom_site_fract_y
_atom_site_fract_z
Pm1 0.000 0.000 0.000
Eu1 0.250 0.250 0.750
Tm1 0.250 0.250 0.250
Hg1 0.000 0.000 0.500

# Ba2Zn2Pd | Alexandria | GGA-PBE | optimized geometry
# Total energy (eV/cell): -22.71
# ΔE to the lowest computed polymorph (meV per atom): 423
# Energy of formation from the pure elements (meV/atom): 46.0
data_Ba2Zn2Pd
_chemical_formula_sum 'Ba4 Zn4 Pd2'
_space_group_name_H-M_alt 'P 4/m b m'
_space_group_IT_number 127
_space_group_name_Hall '-P 4 2ab'
_cell_length_a 8.736
_cell_length_b 8.736
_cell_length_c 4.582
_cell_angle_alpha 90.00
_cell_angle_beta 90.00
_cell_angle_gamma 90.00
loop_
_atom_site_label
_atom_site_fract_x
_atom_site_fract_y
_atom_site_fract_z
Ba1 0.191 0.309 0.000
Zn1 0.105 0.605 0.500
Pd1 0.000 0.000 0.000

# CuRhBr | Alexandria | GGA-PBE | optimized geometry
# Total energy (eV/cell): -46.04
# ΔE to the lowest computed polymorph (meV per atom): 124
# Formation energy (no corrections) (meV/atom): 537
data_CuRhBr
_chemical_formula_sum 'Cu4 Rh4 Br4'
_space_group_name_H-M_alt 'F -4 3 m'
_space_group_IT_number 216
_space_group_name_Hall 'F -4 2 3'
_cell_length_a 6.048
_cell_length_b 6.048
_cell_length_c 6.048
_cell_angle_alpha 90.00
_cell_angle_beta 90.00
_cell_angle_gamma 90.00
loop_
_atom_site_label
_atom_site_fract_x
_atom_site_fract_y
_atom_site_fract_z
Cu1 0.000 0.000 0.000
Rh1 0.250 0.250 0.750
Br1 0.000 0.000 0.500

# Nd6Si2TeI3 | Alexandria | GGA-PBE | optimized geometry
# Total energy (eV/cell): -119.26
# Formation energy (no corrections) (meV/atom): -1032
data_Nd6Si2TeI3
_chemical_formula_sum 'Nd12 Si4 Te2 I6'
_space_group_name_H-M_alt 'C 1 2/m 1'
_space_group_IT_number 12
_space_group_name_Hall '-C 2y'
_cell_length_a 19.898
_cell_length_b 4.382
_cell_length_c 9.223
_cell_angle_alpha 90.00
_cell_angle_beta 106.17
_cell_angle_gamma 90.00
loop_
_atom_site_label
_atom_site_fract_x
_atom_site_fract_y
_atom_site_fract_z
Nd1 0.022 0.000 0.246
Nd2 0.166 0.500 0.134
Nd3 0.179 0.500 0.557
Si1 0.170 0.000 0.340
Te1 0.000 0.500 0.000
I1 0.000 0.500 0.500
I2 0.164 0.000 0.835

# AcScZn2Pd2 | Alexandria | GGA-PBE | optimized geometry
# Total energy (eV/cell): -27.45
# Energy of formation from the pure elements (meV/atom): -679.7
data_AcScZn2Pd2
_chemical_formula_sum 'Ac1 Sc1 Zn2 Pd2'
_space_group_name_H-M_alt 'P -3 m 1'
_space_group_IT_number 164
_space_group_name_Hall '-P 3 2"'
_cell_length_a 4.5038
_cell_length_b 4.5038
_cell_length_c 7.1789
_cell_angle_alpha 90.00
_cell_angle_beta 90.00
_cell_angle_gamma 120.00
loop_
_atom_site_label
_atom_site_fract_x
_atom_site_fract_y
_atom_site_fract_z
Ac1 0.0000 0.0000 0.0000
Sc1 0.0000 0.0000 0.5000
Zn1 0.3333 0.6667 0.3096
Pd1 0.3333 0.6667 0.6950

# Tb2Pm2Dy3 | Alexandria | GGA-PBE | optimized geometry
# Total energy (eV/cell): -123.98
# ΔE to the lowest computed polymorph (meV per atom): 106
# Energy of formation from the pure elements (meV/atom): 224.9
data_Tb2Pm2Dy3
_chemical_formula_sum 'Tb8 Pm8 Dy12'
_space_group_name_H-M_alt 'I 21 3'
_space_group_IT_number 199
_space_group_name_Hall 'I 2b 2c 3'
_cell_length_a 9.750
_cell_length_b 9.750
_cell_length_c 9.750
_cell_angle_alpha 90.00
_cell_angle_beta 90.00
_cell_angle_gamma 90.00
loop_
_atom_site_label
_atom_site_fract_x
_atom_site_fract_y
_atom_site_fract_z
Tb1 0.208 0.208 0.208
Pm1 0.094 0.406 0.594
Dy1 0.000 0.250 0.943